Entry from Alexandria via LeMat-Bulk: a relaxed AcPmPr3 crystal (PBE-GGA).

```
AcPmPr3
1.0
6.4027 0.0000 0.0000
0.0000 7.1098 0.0000
-5.8948 0.0000 16.6242
Ac Pm Pr
4 4 12
Cartesian
-1.7176 0.4415 5.7279
-4.6650 3.1134 14.0400
5.1729 3.9964 2.5842
2.2255 6.6684 10.8963
-1.4853 4.4811 12.4006
1.4621 6.1837 4.0885
-0.9541 0.9262 12.5357
1.9932 2.6288 4.2236
-0.8143 3.9343 6.1465
-3.7617 6.7305 14.4586
1.0813 1.1773 0.8982
-1.8661 2.3776 9.2103
2.0324 4.7057 0.8034
-0.9150 5.9591 9.1155
1.4229 1.1507 7.5086
-1.5245 2.4042 15.8207
2.3740 4.7322 7.4139
-0.5734 5.9326 15.7260
4.2696 0.3794 2.1656
1.3222 3.1755 10.4777
```

Properties
As for the uncorrected energy: -4.56 eV/atom. The formation energy is 0.076 eV per atom.